This record from Alexandria via LeMat-Bulk describes a relaxed FeSi2Pb crystal. The functional is GGA-PBE.

abc: 5.1209 5.1209 5.1209
angles: 140.83 118.52 75.36
Closest atoms and distances in Å follow each position.
Positions (direct):
1 Fe 0.0000 0.0000 0.0000  2 Si 2.38
2 Si 0.2037 0.7037 0.5000  2 Fe 2.38, 2 Si 2.45
3 Si 0.4196 0.4196 0.0000  2 Si 2.45
4 Pb 0.7131 0.2131 0.5000  4 Fe 2.89-3.14, 8 Si 2.93-3.13

Calculated values
E = -5.1550 eV per atom
Size of the total moment = 2.02 μB per formula unit
Formation energy without anion corrections = 0.599 eV per atom